Density functional theory data (GGA-PBEsol) for a relaxed MnNiTeI2 crystal.

Cell lengths 5.090, 5.090, 5.155 Å; angles 90.00, 90.00, 90.00 degrees
Each line ends with the local moment (μB).
Atoms (fractional coordinates):
1 Ni 0.000 0.000 0.000  0.00
2 Mn 0.500 0.500 0.500  4.51
3 I 0.000 0.500 0.000  0.04
4 I 0.500 0.000 0.000  0.04
5 Te 0.000 0.000 0.500  -0.02

Values from the calculation:
- Symmetry: P4/mmm, No. 123
- Final energy: -4.077 eV per atom

Density functional theory data (GGA-PBEsol) for a relaxed MnI2O6 crystal.

Cell lengths 4.958, 5.533, 9.503 Å; angles 90.29, 90.00, 90.00 degrees
Each line ends with the local moment (μB).
Atoms (fractional coordinates):
1 I 0.240 0.767 0.900  0.10
2 I 0.257 0.237 0.433  0.07
3 O 0.097 0.644 0.064  0.04
4 I 0.757 0.763 0.567  0.07
5 I 0.740 0.233 0.100  0.10
6 O 0.586 0.961 0.697  0.04
7 Mn 0.811 0.267 0.755  4.30
8 O 0.597 0.356 0.936  0.04
9 O 0.036 0.153 0.582  0.03
10 O 0.077 0.518 0.384  0.04
11 O 0.544 0.947 0.104  0.03
12 O 0.529 0.406 0.227  0.03
13 Mn 0.311 0.733 0.245  4.30
14 O 0.086 0.039 0.303  0.04
15 O 0.029 0.594 0.773  0.03
16 O 0.577 0.482 0.616  0.04
17 O 0.044 0.053 0.896  0.03
18 O 0.536 0.847 0.418  0.03

Values from the calculation:
- Symmetry: P2_1, No. 4
- Final energy: -5.584 eV per atom
- ΔE to the lowest computed polymorph: 0 meV per atom

Density functional theory data (GGA-PBEsol) for a relaxed MnI2O6 crystal.

Cell lengths 5.339, 5.647, 16.807 Å; angles 90.00, 90.00, 90.00 degrees
Each line ends with the local moment (μB).
Atoms (fractional coordinates):
1 O 0.761 0.833 0.048  0.04
2 O 0.371 0.393 0.120  0.02
3 I 0.255 0.762 0.711  0.04
4 I 0.245 0.238 0.211  0.04
5 I 0.755 0.738 0.289  0.04
6 Mn 0.703 0.178 0.094  4.41
7 O 0.739 0.167 0.548  0.04
8 O 0.239 0.333 0.452  0.04
9 I 0.044 0.648 0.076  0.05
10 O 0.936 0.389 0.017  0.04
11 O 0.974 0.953 0.704  0.02
12 O 0.261 0.667 0.952  0.04
13 O 0.970 0.532 0.341  0.03
14 O 0.108 0.008 0.334  0.04
15 O 0.129 0.607 0.620  0.02
16 O 0.474 0.547 0.296  0.02
17 O 0.892 0.508 0.166  0.04
18 I 0.456 0.352 0.576  0.05
19 Mn 0.203 0.322 0.906  4.41
20 O 0.392 0.992 0.834  0.04
21 O 0.026 0.453 0.796  0.02
22 I 0.956 0.148 0.424  0.05
23 O 0.470 0.968 0.659  0.03
24 I 0.544 0.852 0.924  0.05
25 O 0.436 0.111 0.983  0.04
26 O 0.530 0.468 0.841  0.03
27 Mn 0.797 0.822 0.594  4.41
28 O 0.608 0.492 0.666  0.04
29 O 0.629 0.893 0.380  0.02
30 O 0.064 0.889 0.483  0.04
31 O 0.871 0.107 0.880  0.02
32 O 0.564 0.611 0.517  0.04
33 O 0.526 0.047 0.204  0.02
34 I 0.745 0.262 0.789  0.04
35 Mn 0.297 0.678 0.406  4.41
36 O 0.030 0.032 0.159  0.03

Values from the calculation:
- Symmetry: P2_12_12_1, No. 19
- Final energy: -5.574 eV per atom
- ΔE to the lowest computed polymorph: 11 meV per atom

Density functional theory data (GGA-PBEsol) for a relaxed Mn2IO crystal.

Cell lengths 4.481, 4.481, 4.481 Å; angles 60.00, 60.00, 60.00 degrees
Each line ends with the local moment (μB).
Atoms (fractional coordinates):
1 Mn 0.750 0.750 0.750  3.98
2 Mn 0.250 0.250 0.250  3.98
3 I 0.500 0.500 0.500  0.11
4 O 0.000 0.000 0.000  0.41

Values from the calculation:
- Symmetry: Fm-3m, No. 225
- Final energy: -6.186 eV per atom

Density functional theory data (GGA-PBEsol) for a relaxed MnRuI2O crystal.

Cell lengths 3.663, 5.492, 5.492 Å; angles 90.00, 90.00, 90.00 degrees
Each line ends with the local moment (μB).
Atoms (fractional coordinates):
1 Ru 0.000 0.000 0.000  0.00
2 O 0.500 0.000 0.000  0.00
3 Mn 0.500 0.500 0.500  4.34
4 I 0.000 0.000 0.500  0.04
5 I 0.000 0.500 0.000  0.04

Values from the calculation:
- Symmetry: P4/mmm, No. 123
- Final energy: -5.629 eV per atom

Density functional theory data (GGA-PBEsol) for a relaxed Mn2Sb3I3O5 crystal.

Cell lengths 6.280, 9.665, 10.191 Å; angles 97.09, 108.59, 91.12 degrees
Each line ends with the local moment (μB).
Atoms (fractional coordinates):
1 I 0.677 0.797 0.541  0.04
2 O 0.923 0.283 0.689  0.03
3 I 0.243 0.591 0.692  0.05
4 Sb 0.288 0.555 0.340  0.04
5 Sb 0.712 0.445 0.660  0.04
6 Mn 0.263 0.580 0.001  4.42
7 I 0.757 0.409 0.308  0.05
8 Mn 0.737 0.420 0.999  4.42
9 Mn 0.255 0.302 0.741  4.33
10 O 0.869 0.547 0.859  0.04
11 Mn 0.745 0.698 0.259  4.33
12 O 0.088 0.763 0.031  0.02
13 I 0.255 0.023 0.817  0.04
14 O 0.647 0.624 0.040  0.09
15 O 0.353 0.376 0.960  0.09
16 O 0.131 0.453 0.141  0.04
17 O 0.411 0.677 0.222  0.05
18 O 0.077 0.717 0.311  0.03
19 Sb 0.768 0.143 0.769  0.03
20 Sb 0.245 0.264 0.082  0.04
21 I 0.745 0.977 0.183  0.04
22 O 0.589 0.323 0.778  0.05
23 Sb 0.755 0.736 0.918  0.04
24 Sb 0.232 0.857 0.231  0.03
25 O 0.912 0.237 0.969  0.02
26 I 0.323 0.203 0.459  0.04

Values from the calculation:
- Symmetry: P-1, No. 2
- Final energy: -6.001 eV per atom

Density functional theory data (GGA-PBEsol) for a relaxed MnSiIO2 crystal.

Cell lengths 3.845, 3.845, 5.290 Å; angles 90.00, 90.00, 90.00 degrees
Each line ends with the local moment (μB).
Atoms (fractional coordinates):
1 O 0.000 0.500 0.000  0.09
2 I 0.000 0.000 0.500  0.02
3 Si 0.500 0.500 0.500  0.04
4 O 0.500 0.000 0.000  0.09
5 Mn 0.000 0.000 0.000  3.16

Values from the calculation:
- Symmetry: P4/mmm, No. 123
- Final energy: -5.733 eV per atom

Density functional theory data (GGA-PBEsol) for a relaxed MnTlIO2 crystal.

Cell lengths 4.041, 4.041, 5.319 Å; angles 90.00, 90.00, 90.00 degrees
Each line ends with the local moment (μB).
Atoms (fractional coordinates):
1 Mn 0.000 0.000 0.000  3.26
2 O 0.500 0.000 0.000  0.12
3 Tl 0.500 0.500 0.500  -0.02
4 O 0.000 0.500 0.000  0.12
5 I 0.000 0.000 0.500  -0.02

Values from the calculation:
- Symmetry: P4/mmm, No. 123
- Final energy: -5.279 eV per atom

Density functional theory data (GGA-PBEsol) for a relaxed MnWIO2 crystal.

Cell lengths 3.849, 3.849, 5.965 Å; angles 90.00, 90.00, 90.00 degrees
Each line ends with the local moment (μB).
Atoms (fractional coordinates):
1 I 0.000 0.000 0.500  0.03
2 O 0.500 0.000 0.000  0.01
3 Mn 0.500 0.500 0.500  3.90
4 W 0.000 0.000 0.000  -0.07
5 O 0.000 0.500 0.000  0.01

Values from the calculation:
- Symmetry: P4/mmm, No. 123
- Final energy: -7.686 eV per atom

Density functional theory data (GGA-PBEsol) for a relaxed Mn3PI crystal.

Cell lengths 4.837, 4.837, 4.837 Å; angles 90.00, 90.00, 90.00 degrees
Each line ends with the local moment (μB).
Atoms (fractional coordinates):
1 I 0.000 0.000 0.000  -0.03
2 Mn 0.000 0.000 0.500  3.60
3 P 0.500 0.500 0.500  0.10
4 Mn 0.500 0.000 0.000  3.60
5 Mn 0.000 0.500 0.000  3.60

Values from the calculation:
- Symmetry: Pm-3m, No. 221
- Final energy: -5.660 eV per atom

Density functional theory data (GGA-PBEsol) for a relaxed MnTe2PI crystal.

Cell lengths 4.566, 5.427, 5.427 Å; angles 90.00, 90.00, 90.00 degrees
Each line ends with the local moment (μB).
Atoms (fractional coordinates):
1 Mn 0.500 0.000 0.000  3.94
2 P 0.000 0.000 0.000  -0.06
3 Te 0.000 0.000 0.500  0.05
4 I 0.500 0.500 0.500  0.01
5 Te 0.000 0.500 0.000  0.05

Values from the calculation:
- Symmetry: P4/mmm, No. 123
- Final energy: -4.373 eV per atom
- ΔE to the lowest computed polymorph: 0 meV per atom

Density functional theory data (GGA-PBEsol) for a relaxed MnTe2PI crystal.

Cell lengths 5.373, 5.164, 5.164 Å; angles 90.00, 90.00, 90.00 degrees
Each line ends with the local moment (μB).
Atoms (fractional coordinates):
1 P 0.000 0.000 0.000  -0.03
2 Mn 0.500 0.500 0.500  4.52
3 Te 0.000 0.500 0.000  0.00
4 I 0.500 0.000 0.000  0.03
5 Te 0.000 0.000 0.500  0.00

Values from the calculation:
- Symmetry: P4/mmm, No. 123
- Final energy: -4.181 eV per atom
- ΔE to the lowest computed polymorph: 192 meV per atom

Number 1: total magnetization 1.021 μB/atom. Number 2: total magnetization 0.556 μB/atom. Number 3: total magnetization 0.556 μB/atom. Number 4: total magnetization 2.257 μB/atom. Number 5: total magnetization 0.970 μB/atom. Number 6: total magnetization 0.769 μB/atom. Number 7: total magnetization 0.742 μB/atom. Number 8: total magnetization 0.728 μB/atom. Number 9: total magnetization 0.847 μB/atom. Number 10: total magnetization 2.311 μB/atom. Number 11: total magnetization 0.877 μB/atom. Number 12: total magnetization 0.998 μB/atom.